Record 1
An optimized crystal structure of Li2SmSnTe4. Source: Alexandria, functional GGA-PBE.

Cell: 7.455 4.339 7.635 Å, 90.00 109.82 90.00°
Sites, in units of the cell vectors:
1 Li 0.000 0.000 0.000
2 Li 0.000 0.500 0.500
3 Sm 0.500 0.000 0.500
4 Sn 0.500 0.500 0.000
5 Te 0.239 0.000 0.750
6 Te 0.240 0.500 0.240
7 Te 0.760 0.500 0.760
8 Te 0.761 0.000 0.250

SG: P2/m, No. 10
Formation energy without anion corrections: -0.874 eV/atom

Record 2
An optimized crystal structure of Li2SmZn2Sn2. Source: Alexandria, functional GGA-PBE.

Cell: 8.652 8.652 8.652 Å, 30.05 30.05 30.05°
Sites, in units of the cell vectors:
1 Li 0.142 0.142 0.142
2 Li 0.858 0.858 0.858
3 Sm 0.000 0.000 0.000
4 Zn 0.445 0.445 0.445
5 Zn 0.555 0.555 0.555
6 Sn 0.258 0.258 0.258
7 Sn 0.742 0.742 0.742

SG: R-3m, No. 166
Formation energy from the elements: -439 meV/atom

Record 3
An optimized crystal structure of SrLiSm. Source: Alexandria, functional GGA-PBE.

Cell: 5.849 5.849 3.627 Å, 90.00 90.00 120.00°
Sites, in units of the cell vectors:
1 Sr 0.000 0.000 0.000
2 Li 0.667 0.333 0.226
3 Sm 0.333 0.667 0.580

Distance to the lowest polymorph of the same formula: 86 meV per atom
SG: P3m1, No. 156
Formation energy from the elements: 254 meV/atom

Record 4
An optimized crystal structure of Sr2Li16Sm. Source: Alexandria, functional GGA-PBE.

Cell: 7.825 7.825 7.825 Å, 82.80 82.80 82.80°
Sites, in units of the cell vectors:
1 Sr 0.000 0.000 0.000
2 Sr 0.306 0.306 0.306
3 Li 0.164 0.644 0.644
4 Li 0.306 0.306 0.795
5 Li 0.306 0.795 0.306
6 Li 0.351 0.649 0.942
7 Li 0.351 0.942 0.649
8 Li 0.493 0.998 0.998
9 Li 0.545 0.545 0.545
10 Li 0.644 0.164 0.644
11 Li 0.644 0.644 0.164
12 Li 0.649 0.351 0.942
13 Li 0.649 0.942 0.351
14 Li 0.795 0.306 0.306
15 Li 0.942 0.351 0.649
16 Li 0.942 0.649 0.351
17 Li 0.998 0.493 0.998
18 Li 0.998 0.998 0.493
19 Sm 0.748 0.748 0.748

SG: R3m, No. 160
Formation energy from the elements: 44 meV/atom